No. 1
{
  "formula": "Ni3CO6",
  "functional": "PBE+U",
  "state": "relaxed",
  "lattice": [[3.9109, -4.7274, 0.0000], [3.9109, 4.7274, 0.0000], [0.0000, 0.0000, 5.4642]],
  "species": ["Ni", "Ni", "Ni", "Ni", "Ni", "Ni", "C", "C", "O", "O", "O", "O", "O", "O", "O", "O", "O", "O", "O", "O"],
  "fractional_positions": [[0.0561, 0.9439, 0.5000], [0.1881, 0.4146, 0.5009], [0.4146, 0.1881, 0.0009], [0.5854, 0.8119, 0.5009], [0.8119, 0.5854, 0.0009], [0.9439, 0.0561, 0.0000], [0.3359, 0.6641, 0.0001], [0.6641, 0.3359, 0.5001], [0.1317, 0.5752, 0.9988], [0.1623, 0.1627, 0.2501], [0.1627, 0.1623, 0.7501], [0.2621, 0.7379, 0.4986], [0.4248, 0.8683, 0.9988], [0.4760, 0.5240, 0.0020], [0.5240, 0.4760, 0.5020], [0.5752, 0.1317, 0.4988], [0.7379, 0.2621, 0.9986], [0.8373, 0.8377, 0.2501], [0.8377, 0.8373, 0.7501], [0.8683, 0.4248, 0.4988]],
  "dft_energy_ev_per_atom": -5.493,
  "magmom_total_mub_per_cell": 7.99
}


No. 2
{
  "formula": "Ni2CO",
  "functional": "PBE+U",
  "state": "relaxed",
  "lattice": [[0.0000, 2.5437, 2.5437], [2.5437, 0.0000, 2.5437], [2.5437, 2.5437, 0.0000]],
  "species": ["Ni", "Ni", "C", "O"],
  "fractional_positions": [[0.2500, 0.2500, 0.2500], [0.7500, 0.7500, 0.7500], [0.0000, 0.0000, 0.0000], [0.5000, 0.5000, 0.5000]],
  "relative_energy_ev_per_atom": 0.673,
  "magmom_total_mub_per_cell": 1.06
}


Calculated volume, 10.1 8.2 Å³/atom (same order as the records).